# 1
Density functional theory data (PBE) for an optimized crystal structure of KNaSbCl6.

## Properties
- formation energy without anion corrections (eV per atom) = -1.254
- V (Å³ per cell) = 293.3
- N(E_F) (states/eV/cell) = 5.1
- space group = No. 149
- crystal system = trigonal

Cell: 7.069 7.069 6.779 Å, 90.00 90.00 120.00°
Element x y z (fractional)
K  0.000  0.000  0.000
Na  0.333  0.667  0.500
Sb  0.667  0.333  0.500
Cl  0.382  0.030  0.717
Cl  0.382  0.352  0.283
Cl  0.648  0.030  0.283
Cl  0.648  0.618  0.717
Cl  0.970  0.352  0.717
Cl  0.970  0.618  0.283

# 2
Density functional theory data (PBE) for an optimized crystal structure of YLu3Ni.

## Properties
- V (Å³ per cell) = 140.6
- energy of formation from the pure elements (eV/atom) = -0.089
- N(E_F) (states/eV/cell) = 7.7
- space group = No. 221
- crystal system = cubic

Cell: 5.199 5.199 5.199 Å, 90.00 90.00 90.00°
Element x y z (fractional)
Y  0.000  0.000  0.000
Lu  0.000  0.500  0.500
Lu  0.500  0.000  0.500
Lu  0.500  0.500  0.000
Ni  0.500  0.500  0.500

# 3
Density functional theory data (PBE) for an optimized crystal structure of AcSi2Tc.

## Properties
- formation energy without anion corrections (eV per atom) = -0.225
- V (Å³ per cell) = 76.1
- N(E_F) (states/eV/cell) = 2.8
- space group = No. 123
- crystal system = tetragonal
- excess energy over the best structure of this formula in the dataset (meV/atom) = 315

Cell: 3.252 3.252 7.197 Å, 90.00 90.00 90.00°
Element x y z (fractional)
Ac  0.000  0.000  0.000
Si  0.500  0.500  0.321
Si  0.500  0.500  0.679
Tc  0.000  0.000  0.500

# 4
Density functional theory data (PBE) for an optimized crystal structure of LiAsF6.

## Properties
- formation energy without anion corrections (eV per atom) = -2.375
- V (Å³ per cell) = 101.2
- N(E_F) (states/eV/cell) = 0.0
- space group = No. 148
- crystal system = trigonal
- excess energy over the best structure of this formula in the dataset (meV/atom) = 0

Cell: 5.338 5.338 5.338 Å, 57.43 57.43 57.43°
Element x y z (fractional)
Li  0.000  0.000  0.000
As  0.500  0.500  0.500
F  0.171  0.371  0.728
F  0.272  0.829  0.629
F  0.371  0.728  0.171
F  0.629  0.272  0.829
F  0.728  0.171  0.371
F  0.829  0.629  0.272

Q: What is the N(E_F) in the second record?
A: 7.7 states/eV/cell